[1]
Density functional theory data (GGA-PBE) for a relaxed structure of Rb2GaSiI.

Output
Symmetry   P4/mmm (123)
Formation energy without anion corrections   0.418 eV/atom

Cell and atoms, written as extended XYZ:
```
5
Lattice="-2.547 6.447 0.496 -3.226 -1.625 4.551 5.188 1.719 4.292" Properties=species:S:1:pos:R:3 pbc="T T T"
I -1.613 -0.812 2.275
Si -0.293 3.271 4.670
Ga 0.000 0.000 0.000
Rb 2.594 0.860 2.146
Rb -1.274 3.224 0.248
```

[2]
Density functional theory data (GGA-PBE) for a relaxed structure of ZnNi12As3.

Output
Symmetry   P4/mmm (123)
Energy   -87.34 eV/cell

Cell and atoms, written as extended XYZ:
```
16
Lattice="3.587 0.000 0.000 0.000 3.587 0.000 0.000 0.000 14.343" Properties=species:S:1:pos:R:3 pbc="T T T"
Zn 0.000 0.000 0.000
Ni 1.794 1.794 0.000
Ni 1.794 1.794 3.640
Ni 1.794 1.794 7.171
Ni 1.794 1.794 10.703
Ni 1.794 0.000 1.810
Ni 1.794 0.000 5.389
Ni 1.794 0.000 8.954
Ni 1.794 0.000 12.532
Ni 0.000 1.794 1.810
Ni 0.000 1.794 5.389
Ni 0.000 1.794 8.954
Ni 0.000 1.794 12.532
As 0.000 0.000 3.484
As 0.000 0.000 7.171
As 0.000 0.000 10.858
```

[3]
Density functional theory data (GGA-PBE) for a relaxed structure of MoIrPd.

Output
Symmetry   C2/m (12)
Energy   -50.42 eV/cell

Cell and atoms, written as extended XYZ:
```
6
Lattice="3.916 0.000 0.000 -1.958 4.087 -1.484 0.000 -4.724 7.389" Properties=species:S:1:pos:R:3 pbc="T T T"
Mo 0.000 -3.710 6.476
Mo 1.958 3.073 -0.571
Pd 0.000 0.641 3.093
Pd 1.958 -1.278 2.812
Ir 0.000 -1.530 4.911
Ir 1.958 0.893 0.994
```

[4]
Density functional theory data (GGA-PBE) for a relaxed structure of LaMnOs2.

Output
Symmetry   C2/m (12)
Energy   -34.93 eV/cell

Cell and atoms, written as extended XYZ:
```
4
Lattice="-0.216 -1.888 4.215 0.834 -3.937 2.276 5.454 0.918 1.982" Properties=species:S:1:pos:R:3 pbc="T T T"
La 4.554 -3.680 6.355
Mn 1.518 -1.227 2.118
Os 1.055 -5.617 6.508
Os 2.599 -2.661 4.220
```

[5]
Density functional theory data (GGA-PBE) for a relaxed structure of Y3GePd.

Output
Symmetry   Pm-3m (221)
Energy   -30.07 eV/cell

Cell and atoms, written as extended XYZ:
```
5
Lattice="-1.978 -1.806 4.617 -4.163 -2.094 -2.603 2.692 -4.566 -0.633" Properties=species:S:1:pos:R:3 pbc="T T T"
Y -2.082 -1.047 -1.301
Y 1.346 -2.283 -0.316
Y -0.989 -0.903 2.308
Ge -1.725 -4.233 0.691
Pd 0.000 0.000 0.000
```

[6]
Density functional theory data (GGA-PBE) for a relaxed structure of MgTlBr2.

Output
Symmetry   P4/mmm (123)
Formation energy without anion corrections   -0.680 eV/atom

Cell and atoms, written as extended XYZ:
```
4
Lattice="3.465 0.000 0.000 0.000 3.465 0.000 0.000 0.000 10.164" Properties=species:S:1:pos:R:3 pbc="T T T"
Br 0.000 0.000 0.903
Br 0.000 0.000 4.179
Mg 1.732 1.732 2.541
Tl 1.732 1.732 7.623
```

[7]
Density functional theory data (GGA-PBE) for a relaxed structure of Sr2WC.

Output
Symmetry   I-42d (122)
Energy   -45.61 eV/cell

Cell and atoms, written as extended XYZ:
```
8
Lattice="10.798 0.000 0.000 0.000 10.798 0.000 5.399 5.399 2.045" Properties=species:S:1:pos:R:3 pbc="T T T"
Sr 6.119 2.699 0.511
Sr 4.679 8.098 0.511
Sr 8.098 10.078 1.534
Sr 13.497 11.518 1.534
C 5.399 5.399 0.000
C 5.399 10.798 1.022
W 0.000 0.000 0.000
W 10.798 5.399 1.022
```

[8]
Density functional theory data (GGA-PBE) for a relaxed structure of BeHIr2.

Output
Symmetry   R-3m (166)
Energy   -24.63 eV/cell

Cell and atoms, written as extended XYZ:
```
4
Lattice="2.711 0.000 0.000 1.355 2.347 0.000 1.355 0.782 7.027" Properties=species:S:1:pos:R:3 pbc="T T T"
Be 2.711 1.565 3.514
Ir 1.355 0.782 5.287
Ir 4.066 2.347 1.740
H 0.000 0.000 0.000
```

[9]
Density functional theory data (GGA-PBE) for a relaxed structure of LiHg2BrN.

Output
Symmetry   P4/mmm (123)
Formation energy without anion corrections   0.089 eV/atom

Cell and atoms, written as extended XYZ:
```
5
Lattice="-1.010 4.560 0.045 -4.637 -1.030 0.371 0.365 0.035 4.656" Properties=species:S:1:pos:R:3 pbc="T T T"
Li -2.318 -0.515 0.185
Hg 0.182 0.018 2.328
Hg -0.505 2.280 0.022
Br -2.641 1.782 2.536
N 0.000 0.000 0.000
```

[10]
Density functional theory data (GGA-PBE) for a relaxed structure of CdTe3.

Output
Symmetry   Cmmm (65)
Formation energy without anion corrections   0.155 eV/atom

Cell and atoms, written as extended XYZ:
```
4
Lattice="3.209 0.008 0.000 -0.736 3.124 0.000 0.000 0.000 11.863" Properties=species:S:1:pos:R:3 pbc="T T T"
Te 1.236 1.566 9.433
Te 0.000 0.000 5.931
Te 1.236 1.566 2.430
Cd 0.000 0.000 0.000
```

[11]
Density functional theory data (GGA-PBE) for a relaxed structure of BeNi2Cl.

Output
Symmetry   I-42d (122)
Formation energy without anion corrections   0.386 eV/atom

Cell and atoms, written as extended XYZ:
```
8
Lattice="-2.015 1.823 -2.446 -2.072 -2.969 -0.506 -6.624 1.693 3.987" Properties=species:S:1:pos:R:3 pbc="T T T"
Ni -3.150 1.170 -0.565
Ni -3.228 -1.182 0.345
Ni -6.526 0.804 1.877
Ni -8.519 0.304 0.413
Be -2.043 -0.573 -1.476
Be -5.370 -0.924 1.002
Cl 0.000 0.000 0.000
Cl -5.341 1.472 0.032
```

[12]
Density functional theory data (GGA-PBE) for a relaxed structure of CaHgSe2.

Output
Symmetry   F-43m (216)
Formation energy without anion corrections   -0.467 eV/atom

Cell and atoms, written as extended XYZ:
```
4
Lattice="5.169 0.000 0.000 2.585 4.477 0.000 2.585 1.492 4.221" Properties=species:S:1:pos:R:3 pbc="T T T"
Ca 5.169 2.985 2.110
Hg 7.754 4.477 3.166
Se 0.000 0.000 0.000
Se 2.585 1.492 1.055
```

How do the records compare in theoretical density? In the order shown, they have 2.3; 8.9; 14.4; 12.6; 4.9; 5.3; 5.2; 14.6; 8.0; 6.9; 5.4; 6.8 g/cm³.